(1)
Computed, not measured: an optimized crystal structure of LiMnTl at the PBE-GGA level of DFT.

The structure in POSCAR format:
```
LiMnTl
1.0
4.608 0.000 0.000
-2.304 3.990 0.000
0.000 0.000 3.007
Li Mn Tl
1 1 1
Cartesian
0.000 0.000 2.862
0.000 2.660 0.987
2.304 1.330 2.165
```

Results
As for the energy relative to the lowest polymorph listed for this composition: 0.0000 eV/atom. Its energy of formation is 0.227 eV per atom. The value obtained for the total magnetization is 3.8 μB per cell.

(2)
Computed, not measured: an optimized crystal structure of LiMn2Tl at the PBE-GGA level of DFT.

The structure in POSCAR format:
```
LiMn2Tl
1.0
4.910 0.002 0.000
1.364 4.717 0.000
-3.137 -2.359 2.950
Li Mn Tl
1 2 1
Cartesian
2.455 0.001 1.475
0.000 0.000 0.000
0.682 2.359 1.475
3.137 2.359 0.000
```

Results
Its energy of formation is 0.364 eV per atom. The value obtained for the total magnetization is 7.6 μB per cell.

(3)
Computed, not measured: an optimized crystal structure of LiMnTl4 at the PBE-GGA level of DFT.

The structure in POSCAR format:
```
LiMnTl4
1.0
0.000 4.452 4.452
4.452 0.000 4.452
4.452 4.452 0.000
Li Mn Tl
1 1 4
Cartesian
6.678 6.678 6.678
0.000 0.000 0.000
3.338 5.566 5.566
5.566 5.566 3.338
5.566 3.338 5.566
3.338 3.338 3.338
```

Results
Its energy of formation is 0.441 eV per atom. The value obtained for the total magnetization is 4.5 μB per cell.